Entry 1:
# PBE GaBMo, relaxed
# E: -6.548 eV per atom
# Crystal system: cubic
# Density: 7.673 g/cm³
data_GaBMo
_symmetry_space_group_name_H-M 'P 1'
_symmetry_Int_Tables_number 1
_cell_length_a 3.780
_cell_length_b 3.780
_cell_length_c 3.780
_cell_angle_alpha 60.00
_cell_angle_beta 60.00
_cell_angle_gamma 60.00
loop_
_symmetry_equiv_pos_as_xyz
'x,y,z'
loop_
_atom_site_label
_atom_site_type_symbol
_atom_site_fract_x
_atom_site_fract_y
_atom_site_fract_z
Ga1 Ga 0.000 0.000 0.000
B1 B 0.250 0.250 0.250
Mo1 Mo 0.500 0.500 0.500

=====

Entry 2:
# PBE Ga2B2Mo, relaxed
# E: -5.755 eV per atom
# Crystal system: tetragonal
# Density: 7.336 g/cm³
data_Ga2B2Mo
_symmetry_space_group_name_H-M 'P 1'
_symmetry_Int_Tables_number 1
_cell_length_a 5.963
_cell_length_b 5.963
_cell_length_c 3.273
_cell_angle_alpha 90.00
_cell_angle_beta 90.00
_cell_angle_gamma 90.00
loop_
_symmetry_equiv_pos_as_xyz
'x,y,z'
loop_
_atom_site_label
_atom_site_type_symbol
_atom_site_fract_x
_atom_site_fract_y
_atom_site_fract_z
Ga1 Ga 0.181 0.319 0.000
Ga2 Ga 0.319 0.819 0.000
Ga3 Ga 0.681 0.181 0.000
Ga4 Ga 0.819 0.681 0.000
B1 B 0.101 0.601 0.500
B2 B 0.399 0.101 0.500
B3 B 0.601 0.899 0.500
B4 B 0.899 0.399 0.500
Mo1 Mo 0.000 0.000 0.500
Mo2 Mo 0.500 0.500 0.500